Cd2SeBr | SCAN | single point on PBEsol structure

Structure (POSCAR):
```
Cd2SeBr
1.0
3.5575 0.0000 0.0000
0.0000 3.5575 0.0000
0.0000 0.0000 7.1690
Cd Se Br
2 1 1
direct
0.0000 0.0000 0.2175
0.0000 0.0000 0.7825
0.5000 0.5000 0.0000
0.5000 0.5000 0.5000
```

Magnetic moment (μB per cell): 0.00
N(E_F) (states/eV/f.u.): 1.3
E above lowest polymorph (meV per atom): 96
Raw total energy (eV per atom): -25.3260
E_form (uncorrected) (eV per atom): -0.23
Space-group type: P4/mmm, No. 123

---

Cd2SeBr | SCAN | single point on PBEsol structure

Structure (POSCAR):
```
Cd2SeBr
1.0
7.0746 0.0000 0.0000
0.0000 7.0746 0.0000
0.0000 0.0000 7.0746
Cd Se Br
8 4 4
direct
0.2500 0.2500 0.2500
0.2500 0.2500 0.7500
0.2500 0.7500 0.2500
0.2500 0.7500 0.7500
0.7500 0.2500 0.2500
0.7500 0.2500 0.7500
0.7500 0.7500 0.2500
0.7500 0.7500 0.7500
0.0000 0.0000 0.0000
0.0000 0.5000 0.5000
0.5000 0.0000 0.5000
0.5000 0.5000 0.0000
0.0000 0.0000 0.5000
0.0000 0.5000 0.0000
0.5000 0.0000 0.0000
0.5000 0.5000 0.5000
```

Magnetic moment (μB per cell): 0.00
N(E_F) (states/eV/f.u.): 1.3
E above lowest polymorph (meV per atom): 113
Raw total energy (eV per atom): -25.3089
E_form (uncorrected) (eV per atom): -0.22
Space-group type: Fm-3m, No. 225

---

Cd2SeBr | SCAN | single point on PBEsol structure

Structure (POSCAR):
```
Cd2SeBr
1.0
4.0843 0.0000 0.0000
0.0000 6.5639 0.0000
0.0000 0.0000 7.6632
Cd Se Br
4 2 2
direct
0.0000 0.0000 0.2281
0.0000 0.0000 0.7719
0.5000 0.5000 0.2281
0.5000 0.5000 0.7719
0.0000 0.5000 0.0000
0.5000 0.0000 0.0000
0.0000 0.5000 0.5000
0.5000 0.0000 0.5000
```

Magnetic moment (μB per cell): 0.00
N(E_F) (states/eV/f.u.): 1.0
E above lowest polymorph (meV per atom): 0
Raw total energy (eV per atom): -25.4219
E_form (uncorrected) (eV per atom): -0.33
Space-group type: Cmmm, No. 65

---

CdSeBr2 | SCAN | single point on PBEsol structure

Structure (POSCAR):
```
CdSeBr2
1.0
3.9480 0.0000 0.0000
0.0000 3.9480 0.0000
0.0000 0.0000 12.8129
Cd Se Br
2 2 4
direct
0.0000 0.0000 0.0000
0.5000 0.5000 0.5000
0.0000 0.5000 0.2500
0.5000 0.0000 0.7500
0.0000 0.0000 0.5000
0.0000 0.5000 0.7500
0.5000 0.0000 0.2500
0.5000 0.5000 0.0000
```

Magnetic moment (μB per cell): 0.00
N(E_F) (states/eV/f.u.): 1.5
Raw total energy (eV per atom): -22.4145
E_form (uncorrected) (eV per atom): -0.06
Space-group type: I-4m2, No. 119